(1)
# PrErCo4 | Alexandria via LeMat-Bulk | PBE | relaxed
# Space-group type = No. 216
# Formation energy from the elements = -10.2 kJ per mole of atoms
# Energy = -6.400 eV per atom
data_PrErCo4
_symmetry_space_group_name_H-M 'P 1'
_symmetry_Int_Tables_number 1
_cell_length_a 5.1242
_cell_length_b 5.1242
_cell_length_c 5.1242
_cell_angle_alpha 60.00
_cell_angle_beta 60.00
_cell_angle_gamma 60.00
loop_
_symmetry_equiv_pos_as_xyz
'x,y,z'
loop_
_atom_site_label
_atom_site_type_symbol
_atom_site_fract_x
_atom_site_fract_y
_atom_site_fract_z
Er1 Er 0.0000 0.0000 0.0000
Co1 Co 0.6258 0.6258 0.6258
Co2 Co 0.6258 0.6258 0.1225
Co3 Co 0.1225 0.6258 0.6258
Co4 Co 0.6258 0.1225 0.6258
Pr1 Pr 0.2500 0.2500 0.2500



(2)
# MgAlS2 | Alexandria via LeMat-Bulk | PBE | relaxed
# Space-group type = No. 166
# Energy = -4.057 eV per atom
# Formation energy without anion corrections = -0.659 eV per atom
data_MgAlS2
_symmetry_space_group_name_H-M 'P 1'
_symmetry_Int_Tables_number 1
_cell_length_a 7.3970
_cell_length_b 7.3970
_cell_length_c 7.3970
_cell_angle_alpha 29.98
_cell_angle_beta 29.98
_cell_angle_gamma 29.98
loop_
_symmetry_equiv_pos_as_xyz
'x,y,z'
loop_
_atom_site_label
_atom_site_type_symbol
_atom_site_fract_x
_atom_site_fract_y
_atom_site_fract_z
Mg1 Mg 0.5000 0.5000 0.5000
S1 S 0.1035 0.1035 0.1035
S2 S 0.8965 0.8965 0.8965
Al1 Al 0.0000 0.0000 0.0000